(1)
Below is an optimized crystal structure of SrCo2W, with properties calculated at the GGA-PBE level.

abc: 4.7828 4.7817 2.8367
angles: 90.00 90.00 90.00
Site moments in Bohr magnetons follow the coordinates.
Atoms (fractional coordinates):
Sr 0.5000 0.0000 0.5000  -0.06
Co 0.5000 0.5000 0.0000  0.81
W 0.0000 0.5000 0.5000  -0.10
Co 0.0000 0.0000 0.0000  0.81

## Properties
Spin magnetization (μB per formula unit): 1.34
V (Å³/cell): 65
Formation energy from the elements (meV per atom): 789.3
Relative energy among the computed polymorphs (meV/atom): 443
N(E_F) (states/eV per atom): 0.85
Symmetry: P4/mmm


(2)
Below is an optimized crystal structure of SrCoW4, with properties calculated at the GGA-PBE level.

abc: 5.4354 5.4354 5.4354
angles: 60.00 60.00 60.00
Site moments in Bohr magnetons follow the coordinates.
Atoms (fractional coordinates):
W 0.8753 0.3749 0.3749  0.03
Co 0.7500 0.7500 0.7500  1.72
W 0.3749 0.3749 0.3749  0.03
W 0.3749 0.8753 0.3749  0.03
W 0.3749 0.3749 0.8753  0.03
Sr 0.0000 0.0000 0.0000  0.00

## Properties
Spin magnetization (μB per formula unit): 1.73
V (Å³/cell): 114
Formation energy from the elements (meV per atom): 964.8
N(E_F) (states/eV per atom): 1.10
Symmetry: F-43m


(3)
Below is an optimized crystal structure of SrCo2W, with properties calculated at the GGA-PBE level.

abc: 5.3835 5.3835 5.3835
angles: 139.11 139.11 59.21
Atoms (fractional coordinates):
Co 0.0000 0.0000 0.0000
Sr 0.5000 0.5000 0.0000
W 0.7500 0.2500 0.5000
Co 0.2500 0.7500 0.5000

## Properties
Spin magnetization (μB per formula unit): 0.00
V (Å³/cell): 66
Formation energy from the elements (meV per atom): 1165.5
Relative energy among the computed polymorphs (meV/atom): 819
N(E_F) (states/eV per atom): 1.06
Symmetry: I-4m2


(4)
Below is an optimized crystal structure of SrCo2W, with properties calculated at the GGA-PBE level.

abc: 6.0278 6.0278 6.0278
angles: 39.96 39.96 39.96
Atoms (fractional coordinates):
Co 0.4438 0.4438 0.4438
Co 0.0562 0.0562 0.0562
Sr 0.2500 0.2500 0.2500
W 0.7500 0.7500 0.7500

## Properties
Spin magnetization (μB per formula unit): 0.00
V (Å³/cell): 81
Formation energy from the elements (meV per atom): 351.9
Relative energy among the computed polymorphs (meV/atom): 6
N(E_F) (states/eV per atom): 1.19
Symmetry: R-3m


(5)
Below is an optimized crystal structure of SrCo2W, with properties calculated at the GGA-PBE level.

abc: 4.7382 4.7382 4.7382
angles: 129.72 114.09 87.29
Site moments in Bohr magnetons follow the coordinates.
Atoms (fractional coordinates):
Sr 0.2500 0.7500 0.5000  0.00
W 0.7500 0.2500 0.5000  -0.01
Co 0.5478 0.5478 0.0000  0.06
Co 0.9522 0.9522 0.0000  0.06

## Properties
Spin magnetization (μB per formula unit): 0.11
V (Å³/cell): 71
Formation energy from the elements (meV per atom): 896.1
Relative energy among the computed polymorphs (meV/atom): 550
N(E_F) (states/eV per atom): 1.44
Symmetry: Immm


(6)
Below is an optimized crystal structure of SrCo2W, with properties calculated at the GGA-PBE level.

abc: 3.0873 3.0749 7.9396
angles: 67.21 90.00 90.00
Atoms (fractional coordinates):
Co 0.0000 0.4242 0.5757
Sr 0.5000 0.2500 0.2500
W 0.5000 0.7500 0.7500
Co 0.0000 0.0758 0.9243

## Properties
Spin magnetization (μB per formula unit): 0.00
V (Å³/cell): 69
Formation energy from the elements (meV per atom): 346.3
Relative energy among the computed polymorphs (meV/atom): 0
N(E_F) (states/eV per atom): 0.73
Symmetry: Pmmm


(7)
Below is an optimized crystal structure of SrCo2W, with properties calculated at the GGA-PBE level.

abc: 4.1119 4.1119 6.1524
angles: 70.45 70.45 60.01
Site moments in Bohr magnetons follow the coordinates.
Atoms (fractional coordinates):
Co 0.6841 0.6841 0.9476  0.92
W 0.3075 0.3075 0.0774  0.07
Sr 0.4943 0.4943 0.5171  -0.01
Co 0.0141 0.0141 0.9579  0.91

## Properties
Spin magnetization (μB per formula unit): 1.88
V (Å³/cell): 83
Formation energy from the elements (meV per atom): 473.1
Relative energy among the computed polymorphs (meV/atom): 127
N(E_F) (states/eV per atom): 1.32
Symmetry: R3m


(8)
Below is an optimized crystal structure of Sr4CoW, with properties calculated at the GGA-PBE level.

abc: 6.7336 6.7336 6.7336
angles: 60.00 60.00 60.00
Site moments in Bohr magnetons follow the coordinates.
Atoms (fractional coordinates):
Co 0.0000 0.0000 0.0000  2.03
Sr 0.3751 0.8747 0.3751  0.01
W 0.7500 0.7500 0.7500  2.79
Sr 0.8747 0.3751 0.3751  0.01
Sr 0.3751 0.3751 0.8747  0.01
Sr 0.3751 0.3751 0.3751  0.01

## Properties
Spin magnetization (μB per formula unit): 6.26
V (Å³/cell): 216
Formation energy from the elements (meV per atom): 1691.5
N(E_F) (states/eV per atom): 1.61
Symmetry: F-43m


(9)
Below is an optimized crystal structure of SrCo2W, with properties calculated at the GGA-PBE level.

abc: 5.7812 5.7812 5.7812
angles: 152.65 131.70 56.40
Site moments in Bohr magnetons follow the coordinates.
Atoms (fractional coordinates):
Co 0.0062 0.0062 0.0000  0.37
W 0.7874 0.2874 0.5000  -0.11
Sr 0.4940 0.4940 0.0000  -0.02
Co 0.2124 0.7124 0.5000  0.68

## Properties
Spin magnetization (μB per formula unit): 0.86
V (Å³/cell): 66
Formation energy from the elements (meV per atom): 814.3
Relative energy among the computed polymorphs (meV/atom): 468
N(E_F) (states/eV per atom): 1.25
Symmetry: Imm2


(10)
Below is an optimized crystal structure of SrCo2W, with properties calculated at the GGA-PBE level.

abc: 4.5528 4.5528 4.5528
angles: 60.00 60.00 60.00
Site moments in Bohr magnetons follow the coordinates.
Atoms (fractional coordinates):
Sr 0.0000 0.0000 0.0000  -0.03
W 0.5000 0.5000 0.5000  0.22
Co 0.2500 0.2500 0.2500  0.95
Co 0.7500 0.7500 0.7500  0.95

## Properties
Spin magnetization (μB per formula unit): 2.00
V (Å³/cell): 67
Formation energy from the elements (meV per atom): 945.2
Relative energy among the computed polymorphs (meV/atom): 599
N(E_F) (states/eV per atom): 0.59
Symmetry: Fm-3m


(11)
Below is an optimized crystal structure of SrCo2W, with properties calculated at the GGA-PBE level.

abc: 3.7735 3.3960 6.2993
angles: 74.40 90.00 90.00
Atoms (fractional coordinates):
Sr 0.0000 0.4588 0.4581
Co 0.0000 0.2131 0.9486
W 0.5000 0.7301 0.9145
Co 0.5000 0.0980 0.1788

## Properties
Spin magnetization (μB per formula unit): 0.00
V (Å³/cell): 78
Formation energy from the elements (meV per atom): 587.0
Relative energy among the computed polymorphs (meV/atom): 241
N(E_F) (states/eV per atom): 1.13
Symmetry: Amm2


(12)
Below is an optimized crystal structure of SrCo2W, with properties calculated at the GGA-PBE level.

abc: 9.4804 9.4804 9.4804
angles: 17.52 17.52 17.52
Site moments in Bohr magnetons follow the coordinates.
Atoms (fractional coordinates):
Co 0.2656 0.2656 0.2656  1.75
Sr 0.5053 0.5053 0.5053  -0.01
W 0.7340 0.7340 0.7340  -0.06
Co 0.9951 0.9951 0.9951  1.54

## Properties
Spin magnetization (μB per formula unit): 3.12
V (Å³/cell): 67
Formation energy from the elements (meV per atom): 978.0
Relative energy among the computed polymorphs (meV/atom): 632
N(E_F) (states/eV per atom): 1.21
Symmetry: R3m


Q: What is the V in the third record?
A: 66 Å³/cell


Q: The highest N(E_F) belongs to which entry?
A: Sr4CoW